Entry 1:
The following is a DFT calculation (PBE) of a geometry-optimized Na4ZnSn2Au structure.

Summary:
- VASP energy (eV for the cell shown) = -19.41
- SG = No. 115

Cell and atoms, written as POSCAR:
```
Na4ZnSn2Au
1.0
-3.299 -2.617 2.667
0.278 -3.720 -3.306
5.297 -2.899 3.708
Au Na Sn Zn
1 4 2 1
Direct
0.000 0.000 0.000 Au
0.500 0.500 0.000 Na
0.500 0.000 0.245 Na
0.000 0.000 0.500 Na
0.000 0.500 0.755 Na
0.000 0.500 0.251 Sn
0.500 0.000 0.749 Sn
0.500 0.500 0.500 Zn
```


Entry 2:
The following is a DFT calculation (PBE) of a geometry-optimized Na4Zn2SnAu structure.

Summary:
- VASP energy (eV for the cell shown) = -16.16
- SG = No. 115

Cell and atoms, written as POSCAR:
```
Na4Zn2SnAu
1.0
4.905 0.000 0.000
0.000 4.905 0.000
0.000 0.000 7.002
Au Na Sn Zn
1 4 1 2
Direct
0.000 0.000 0.500 Au
0.000 0.000 0.000 Na
0.000 0.500 0.267 Na
0.500 0.500 0.500 Na
0.500 0.000 0.733 Na
0.500 0.500 0.000 Sn
0.500 0.000 0.258 Zn
0.000 0.500 0.742 Zn
```


Entry 3:
The following is a DFT calculation (PBE) of a geometry-optimized NaSrAu structure.

Summary:
- ΔE to the lowest computed polymorph (meV per atom) = 341
- SG = No. 216

Cell and atoms, written as POSCAR:
```
NaSrAu
1.0
0.000 3.712 3.712
3.712 0.000 3.712
3.712 3.712 0.000
Au Na Sr
1 1 1
Direct
0.250 0.250 0.250 Au
0.750 0.750 0.750 Na
0.000 0.000 0.000 Sr
```


Entry 4:
The following is a DFT calculation (PBE) of a geometry-optimized NaSrAu structure.

Summary:
- ΔE to the lowest computed polymorph (meV per atom) = 0
- SG = No. 51

Cell and atoms, written as POSCAR:
```
NaSrAu
1.0
4.840 0.000 0.000
0.000 10.030 0.000
0.000 0.000 4.077
Au Na Sr
2 2 2
Direct
0.750 0.088 0.188 Au
0.250 0.912 0.188 Au
0.750 0.393 0.188 Na
0.250 0.607 0.188 Na
0.250 0.167 0.688 Sr
0.750 0.833 0.688 Sr
```


Entry 5:
The following is a DFT calculation (PBE) of a geometry-optimized NaSrAu structure.

Summary:
- ΔE to the lowest computed polymorph (meV per atom) = 16
- SG = No. 216

Cell and atoms, written as POSCAR:
```
NaSrAu
1.0
0.000 3.664 3.664
3.664 0.000 3.664
3.664 3.664 0.000
Au Na Sr
1 1 1
Direct
0.000 0.000 0.000 Au
0.250 0.250 0.250 Na
0.750 0.750 0.750 Sr
```


Entry 6:
The following is a DFT calculation (PBE) of a geometry-optimized NaSrTl4Au2 structure.

Summary:
- VASP energy (eV for the cell shown) = -21.23
- SG = No. 38

Cell and atoms, written as POSCAR:
```
NaSrTl4Au2
1.0
8.430 0.000 0.000
0.000 2.308 5.686
0.000 -2.308 5.686
Au Na Sr Tl
2 1 1 4
Direct
0.000 0.288 0.288 Au
0.500 0.718 0.718 Au
0.000 0.571 0.571 Na
0.500 0.430 0.430 Sr
0.290 0.137 0.137 Tl
0.710 0.137 0.137 Tl
0.196 0.860 0.860 Tl
0.804 0.860 0.860 Tl
```


Entry 7:
The following is a DFT calculation (PBE) of a geometry-optimized NaTbAu structure.

Summary:
- ΔE to the lowest computed polymorph (meV per atom) = 0
- magnetization (μB/f.u.) = 0.0
- SG = No. 216

Cell and atoms, written as POSCAR:
```
NaTbAu
1.0
3.930 -2.629 1.268
3.407 1.948 2.927
0.488 -1.610 4.597
Au Na Tb
1 1 1
Direct
0.000 0.000 0.000 Au
0.250 0.250 0.250 Na
0.750 0.750 0.750 Tb
```


Entry 8:
The following is a DFT calculation (PBE) of a geometry-optimized NaTbTe4Au3 structure.

Summary:
- ΔE to the lowest computed polymorph (meV per atom) = 0
- magnetization (μB/f.u.) = 0.0
- SG = No. 215

Cell and atoms, written as POSCAR:
```
NaTbTe4Au3
1.0
-5.145 3.479 -2.412
-3.753 -5.505 0.066
-1.958 1.409 6.211
Au Na Tb Te
3 1 1 4
Direct
0.500 0.500 0.000 Au
0.500 0.000 0.500 Au
0.000 0.500 0.500 Au
0.000 0.000 0.000 Na
0.500 0.500 0.500 Tb
0.251 0.251 0.251 Te
0.749 0.749 0.251 Te
0.749 0.251 0.749 Te
0.251 0.749 0.749 Te
```


Entry 9:
The following is a DFT calculation (PBE) of a geometry-optimized NaTbTe4Au3 structure.

Summary:
- ΔE to the lowest computed polymorph (meV per atom) = 15
- magnetization (μB/f.u.) = 0.0
- SG = No. 11

Cell and atoms, written as POSCAR:
```
NaTbTe4Au3
1.0
6.243 0.000 0.000
0.000 8.591 0.000
-2.914 0.000 10.233
Au Na Tb Te
6 2 2 8
Direct
0.168 0.750 0.235 Au
0.267 0.564 0.480 Au
0.267 0.936 0.480 Au
0.733 0.064 0.520 Au
0.733 0.436 0.520 Au
0.832 0.250 0.765 Au
0.797 0.250 0.062 Na
0.203 0.750 0.938 Na
0.719 0.750 0.320 Tb
0.281 0.250 0.680 Tb
0.771 0.750 0.048 Te
0.409 0.025 0.264 Te
0.409 0.475 0.264 Te
0.976 0.250 0.401 Te
0.024 0.750 0.599 Te
0.591 0.525 0.736 Te
0.591 0.975 0.736 Te
0.229 0.250 0.952 Te
```


Entry 10:
The following is a DFT calculation (PBE) of a geometry-optimized NaTeAu structure.

Summary:
- VASP energy (eV for the cell shown) = -27.20
- SG = No. 189

Cell and atoms, written as POSCAR:
```
NaTeAu
1.0
7.702 0.000 0.000
-3.851 6.670 0.000
0.000 0.000 4.356
Au Na Te
3 3 3
Direct
0.667 0.333 0.000 Au
0.333 0.667 0.000 Au
0.000 0.000 0.500 Au
0.608 0.000 0.500 Na
0.392 0.392 0.500 Na
0.000 0.608 0.500 Na
0.287 0.000 0.000 Te
0.000 0.287 0.000 Te
0.713 0.713 0.000 Te
```


Entry 11:
The following is a DFT calculation (PBE) of a geometry-optimized NaTeAu structure.

Summary:
- VASP energy (eV for the cell shown) = -36.53
- SG = No. 62

Cell and atoms, written as POSCAR:
```
NaTeAu
1.0
7.015 0.000 0.000
0.000 4.510 0.000
0.000 0.000 10.466
Au Na Te
4 4 4
Direct
0.093 0.250 0.048 Au
0.593 0.250 0.452 Au
0.407 0.750 0.548 Au
0.907 0.750 0.952 Au
0.618 0.250 0.145 Na
0.118 0.250 0.355 Na
0.882 0.750 0.645 Na
0.382 0.750 0.855 Na
0.262 0.750 0.144 Te
0.762 0.750 0.356 Te
0.238 0.250 0.644 Te
0.738 0.250 0.856 Te
```


Entry 12:
The following is a DFT calculation (PBE) of a geometry-optimized NaTeAu structure.

Summary:
- VASP energy (eV for the cell shown) = -37.28
- SG = No. 62

Cell and atoms, written as POSCAR:
```
NaTeAu
1.0
-3.507 -3.485 6.681
4.241 -0.807 1.805
-0.188 7.296 3.706
Au Na Te
4 4 4
Direct
0.265 0.750 0.085 Au
0.765 0.750 0.415 Au
0.235 0.250 0.585 Au
0.735 0.250 0.915 Au
0.998 0.250 0.220 Na
0.498 0.250 0.280 Na
0.502 0.750 0.720 Na
0.002 0.750 0.780 Na
0.731 0.750 0.086 Te
0.231 0.750 0.414 Te
0.769 0.250 0.586 Te
0.269 0.250 0.914 Te
```